The following is a DFT calculation (PBE-GGA) of crystalline RbLiAsI6 at its relaxed geometry.

```
RbLiAsI6
1.0
6.597 0.000 0.000
-2.926 7.434 0.000
-1.279 -2.164 8.122
Rb Li As I
1 1 1 6
direct
0.000 0.000 0.000
0.856 0.419 0.314
0.475 0.739 0.386
0.254 0.413 0.474
0.456 0.501 0.032
0.495 0.970 0.670
0.565 0.051 0.212
0.895 0.780 0.492
0.958 0.505 0.022
```

Results
Total magnetic moment = 0.00 μB/cell
Density = 3.87 g/cm³
Space-group type = No. 1
Density of states at the Fermi level = 1.47 states/eV/f.u.
Formation energy from raw total energies = -0.644 eV per atom